First-principles (GGA-PBE) data for a relaxed structure of Pm3EuRu, as listed in the Alexandria database.

The calculation puts the formation enthalpy at 0 K at -0.07 eV/atom. As for the total energy: -6.832 eV/atom.

The structure belongs to space group Pm-3m (No. 221); the cell edges are 5.578, 5.578 and 5.578 Å and the angles 90.00°, 90.00° and 90.00°. The asymmetric unit holds Pm at (0.000, 0.000, 0.500), Eu at (0.500, 0.500, 0.500) and Ru at (0.000, 0.000, 0.000).

First-principles (GGA-PBE) data for a relaxed structure of Pm2EuRu, as listed in the Alexandria database.

The calculation puts the formation enthalpy at 0 K at 0.07 eV/atom. As for the total energy: -7.194 eV/atom. The value obtained for the relative energy among the computed polymorphs is 172 meV per atom.

The structure belongs to space group R-3m (No. 166, hexagonal axes); the cell edges are 3.9334, 3.9334 and 31.9421 Å and the angles 90.00°, 90.00° and 120.00°. The asymmetric unit holds Pm at (0.0000, 0.0000, 0.1163), Eu at (0.0000, 0.0000, 0.0000) and Ru at (0.0000, 0.0000, 0.5000).

First-principles (GGA-PBE) data for a relaxed structure of Pm2EuRu, as listed in the Alexandria database.

The calculation puts the formation enthalpy at 0 K at -0.10 eV/atom. As for the total energy: -7.366 eV/atom. The value obtained for the relative energy among the computed polymorphs is 0 meV per atom.

The structure belongs to space group P4/mmm (No. 123); the cell edges are 3.515, 3.515 and 9.752 Å and the angles 90.00°, 90.00° and 90.00°. The asymmetric unit holds Pm at (0.000, 0.000, 0.173), Eu at (0.500, 0.500, 0.500) and Ru at (0.500, 0.500, 0.000).

First-principles (GGA-PBE) data for a relaxed structure of Pm2EuRu, as listed in the Alexandria database.

The calculation puts the formation enthalpy at 0 K at 0.15 eV/atom. As for the total energy: -7.108 eV/atom. The value obtained for the relative energy among the computed polymorphs is 258 meV per atom.

The structure belongs to space group Fm-3m (No. 225); the cell edges are 7.442, 7.442 and 7.442 Å and the angles 90.00°, 90.00° and 90.00°. The asymmetric unit holds Pm at (0.250, 0.250, 0.250), Eu at (0.000, 0.000, 0.000) and Ru at (0.000, 0.000, 0.500).

First-principles (GGA-PBE) data for a relaxed structure of Pm3EuS, as listed in the Alexandria database.

As for the total energy: -6.393 eV/atom. For the uncorrected formation energy, the calculation gives -0.662 eV per atom.

The structure belongs to space group Pm-3m (No. 221); the cell edges are 5.525, 5.525 and 5.525 Å and the angles 90.00°, 90.00° and 90.00°. The asymmetric unit holds Pm at (0.000, 0.000, 0.500), Eu at (0.500, 0.500, 0.500) and S at (0.000, 0.000, 0.000).

First-principles (GGA-PBE) data for a relaxed structure of PmEuS2, as listed in the Alexandria database.

As for the total energy: -7.916 eV/atom. For the uncorrected formation energy, the calculation gives -2.096 eV per atom.

The structure belongs to space group R-3m (No. 166, hexagonal axes); the cell edges are 4.0633, 4.0633 and 20.1577 Å and the angles 90.00°, 90.00° and 120.00°. The asymmetric unit holds Pm at (0.0000, 0.0000, 0.0000), Eu at (0.0000, 0.0000, 0.5000) and S at (0.0000, 0.0000, 0.2515).

First-principles (GGA-PBE) data for a relaxed structure of PmEuSb, as listed in the Alexandria database.

As for the total energy: -7.057 eV/atom. For the uncorrected formation energy, the calculation gives -0.675 eV per atom. The value obtained for the relative energy among the computed polymorphs is 0 meV per atom.

The structure belongs to space group I4mm (No. 107); the cell edges are 4.178, 4.178 and 10.623 Å and the angles 90.00°, 90.00° and 90.00°. The asymmetric unit holds Pm at (0.000, 0.000, 0.000), Eu at (0.000, 0.000, 0.698) and Sb at (0.000, 0.000, 0.361).

First-principles (GGA-PBE) data for a relaxed structure of PmEuSb, as listed in the Alexandria database.

As for the total energy: -7.046 eV/atom. For the uncorrected formation energy, the calculation gives -0.663 eV per atom. The value obtained for the relative energy among the computed polymorphs is 12 meV per atom.

The structure belongs to space group F-43m (No. 216); the cell edges are 7.485, 7.485 and 7.485 Å and the angles 90.00°, 90.00° and 90.00°. The asymmetric unit holds Pm at (0.000, 0.000, 0.000), Eu at (0.000, 0.000, 0.500) and Sb at (0.250, 0.250, 0.750).